# 1
Material: SmZnAsSe
Method: DFT, PBE
State: relaxed

abc: 14.138 14.138 14.138
angles: 17.24 17.24 17.24
Sites, in units of the cell vectors:
Sm: 0.088 0.088 0.088
Sm: 0.912 0.912 0.912
Zn: 0.311 0.311 0.311
Zn: 0.689 0.689 0.689
As: 0.374 0.374 0.374
As: 0.626 0.626 0.626
Se: 0.212 0.212 0.212
Se: 0.788 0.788 0.788

Results
Space-group type: No. 166



# 2
Material: Sn2AsSe4
Method: DFT, PBE
State: relaxed

abc: 8.056 8.056 7.909
angles: 104.89 104.89 117.53
Sites, in units of the cell vectors:
Sn: 0.107 0.893 0.500
Sn: 0.345 0.617 0.000
Sn: 0.617 0.345 0.500
Sn: 0.893 0.107 0.000
As: 0.410 0.659 0.524
As: 0.659 0.410 0.024
Se: 0.328 0.349 0.660
Se: 0.349 0.328 0.160
Se: 0.409 0.902 0.348
Se: 0.421 0.892 0.820
Se: 0.784 0.788 0.648
Se: 0.788 0.784 0.148
Se: 0.892 0.421 0.320
Se: 0.902 0.409 0.848

Results
Space-group type: No. 9
ΔE to the lowest computed polymorph (meV per atom): 0



# 3
Material: SnAsSe4
Method: DFT, PBE
State: relaxed

abc: 7.626 7.626 6.549
angles: 113.50 113.50 28.63
Sites, in units of the cell vectors:
Sn: 0.000 0.000 0.000
As: 0.500 0.500 0.500
Se: 0.117 0.117 0.451
Se: 0.382 0.382 0.063
Se: 0.618 0.618 0.937
Se: 0.883 0.883 0.549

Results
Space-group type: No. 12



# 4
Material: Sn2As2Se
Method: DFT, PBE
State: relaxed

abc: 7.857 7.857 3.911
angles: 90.00 90.00 90.00
Sites, in units of the cell vectors:
Sn: 0.148 0.352 0.000
Sn: 0.352 0.852 0.000
Sn: 0.648 0.148 0.000
Sn: 0.852 0.648 0.000
As: 0.169 0.669 0.500
As: 0.331 0.169 0.500
As: 0.669 0.831 0.500
As: 0.831 0.331 0.500
Se: 0.000 0.000 0.500
Se: 0.500 0.500 0.500

Results
Space-group type: No. 127
ΔE to the lowest computed polymorph (meV per atom): 147



# 5
Material: Sn2As2Se
Method: DFT, PBE
State: relaxed

abc: 5.793 5.793 5.793
angles: 125.21 125.21 81.18
Sites, in units of the cell vectors:
Sn: 0.250 0.750 0.500
Sn: 0.750 0.250 0.500
As: 0.141 0.141 0.000
As: 0.859 0.859 0.000
Se: 0.500 0.500 0.000

Results
Space-group type: No. 139
ΔE to the lowest computed polymorph (meV per atom): 15



# 6
Material: Sn4AsSe6
Method: DFT, PBE
State: relaxed

abc: 9.184 9.184 13.817
angles: 122.73 122.73 44.32
Sites, in units of the cell vectors:
Sn: 0.116 0.884 0.500
Sn: 0.292 0.616 0.171
Sn: 0.394 0.894 0.823
Sn: 0.616 0.292 0.671
Sn: 0.632 0.981 0.224
Sn: 0.884 0.116 0.000
Sn: 0.894 0.394 0.323
Sn: 0.981 0.632 0.724
As: 0.498 0.968 0.471
As: 0.968 0.498 0.971
Se: 0.049 0.635 0.280
Se: 0.148 0.184 0.500
Se: 0.184 0.148 0.000
Se: 0.187 0.693 0.655
Se: 0.221 0.684 0.965
Se: 0.399 0.905 0.256
Se: 0.626 0.629 0.973
Se: 0.629 0.626 0.473
Se: 0.635 0.049 0.780
Se: 0.684 0.221 0.465
Se: 0.693 0.187 0.155
Se: 0.905 0.399 0.756

Results
Space-group type: No. 9



# 7
Material: Sn2As2Se
Method: DFT, PBE
State: relaxed

abc: 8.030 8.030 3.650
angles: 90.00 90.00 90.00
Sites, in units of the cell vectors:
Sn: 0.167 0.333 0.000
Sn: 0.333 0.833 0.000
Sn: 0.667 0.167 0.000
Sn: 0.833 0.667 0.000
As: 0.139 0.639 0.500
As: 0.361 0.139 0.500
As: 0.639 0.861 0.500
As: 0.861 0.361 0.500
Se: 0.000 0.000 0.000
Se: 0.500 0.500 0.000

Results
Space-group type: No. 127
ΔE to the lowest computed polymorph (meV per atom): 199



# 8
Material: Sn3As2Se
Method: DFT, PBE
State: relaxed

abc: 8.304 5.872 12.487
angles: 90.00 90.00 90.00
Sites, in units of the cell vectors:
Sn: 0.112 0.250 0.090
Sn: 0.125 0.250 0.747
Sn: 0.135 0.250 0.414
Sn: 0.365 0.750 0.914
Sn: 0.375 0.750 0.247
Sn: 0.388 0.750 0.590
Sn: 0.612 0.250 0.410
Sn: 0.625 0.250 0.753
Sn: 0.635 0.250 0.086
Sn: 0.865 0.750 0.586
Sn: 0.875 0.750 0.253
Sn: 0.888 0.750 0.910
As: 0.119 0.750 0.085
As: 0.122 0.750 0.744
As: 0.378 0.250 0.244
As: 0.381 0.250 0.585
As: 0.619 0.750 0.415
As: 0.622 0.750 0.756
As: 0.878 0.250 0.256
As: 0.881 0.250 0.915
Se: 0.121 0.750 0.419
Se: 0.379 0.250 0.919
Se: 0.621 0.750 0.081
Se: 0.879 0.250 0.581

Results
Space-group type: No. 62



| no. | total energy (eV/cell) | calculated density (Mg/m³) | formation energy from raw total energies (meV/atom) |
| --- | --- | --- | --- |
| 1 | -36.65 | 5.67 | -1049.2 |
| 2 | -56.64 | 5.28 | -247.0 |
| 3 | -23.48 | 5.09 | -148.8 |
| 4 | -40.24 | 6.41 | 134.2 |
| 5 | -20.78 | 6.19 | 1.9 |
| 6 | -88.85 | 5.14 | -259.9 |
| 7 | -39.72 | 6.58 | 186.0 |
| 8 | -103.13 | 6.38 | -165.1 |